Entry 1:
Below is a geometry-optimized SmNi2Ir structure, with properties calculated at the GGA-PBE level.

Summary:
Space group ... C2/m (12)
Energy relative to the elements ... -149 kJ/mol of formula units

```
SmNi2Ir
1.0
4.748 -2.100 0.000
4.748 2.100 0.000
-1.923 0.000 7.027
Sm Ni Ir
2 4 2
direct
0.250 0.250 0.250
0.750 0.750 0.750
0.044 0.044 0.848
0.456 0.456 0.652
0.544 0.544 0.348
0.956 0.956 0.152
0.000 0.000 0.500
0.500 0.500 0.000
```

Entry 2:
Below is a geometry-optimized CoCuAsW structure, with properties calculated at the GGA-PBE level.

Summary:
Space group ... F-43m (216)
Relative energy among the computed polymorphs ... 0.010 eV per atom

```
CoCuAsW
1.0
0.000 2.982 2.982
2.982 0.000 2.982
2.982 2.982 0.000
Co Cu As W
1 1 1 1
direct
0.000 0.000 0.000
0.250 0.250 0.250
0.750 0.750 0.750
0.500 0.500 0.500
```

Entry 3:
Below is a geometry-optimized HfScOs2 structure, with properties calculated at the GGA-PBE level.

Summary:
Space group ... Fm-3m (225)
Energy relative to the elements ... -216 kJ/mol of formula units
Relative energy among the computed polymorphs ... 0.000 eV per atom

```
HfScOs2
1.0
0.000 3.226 3.226
3.226 0.000 3.226
3.226 3.226 0.000
Hf Sc Os
1 1 2
direct
0.000 0.000 0.000
0.500 0.500 0.500
0.250 0.250 0.250
0.750 0.750 0.750
```

Entry 4:
Below is a geometry-optimized AlInPt2 structure, with properties calculated at the GGA-PBE level.

Summary:
Space group ... P4/mmm (123)

```
AlInPt2
1.0
4.248 0.000 0.000
0.000 4.248 0.000
0.000 0.000 3.624
Al In Pt
1 1 2
direct
0.000 0.000 0.000
0.500 0.500 0.000
0.000 0.500 0.500
0.500 0.000 0.500
```

Entry 5:
Below is a geometry-optimized YErAlSi2 structure, with properties calculated at the GGA-PBE level.

Summary:
Space group ... Imm2 (44)

```
YErAlSi2
1.0
-2.032 2.856 4.339
2.032 -2.856 4.339
2.032 2.856 -4.339
Y Er Al Si
1 1 1 2
direct
0.000 0.000 0.000
0.579 0.579 0.000
0.289 0.789 0.500
0.000 0.289 0.711
0.578 0.289 0.289
```

Entry 6:
Below is a geometry-optimized Th3FeSe2 structure, with properties calculated at the GGA-PBE level.

Summary:
Space group ... C2/m (12)

```
Th3FeSe2
1.0
6.835 -3.002 0.000
6.835 3.002 0.000
-1.135 0.000 3.781
Th Fe Se
3 1 2
direct
0.000 0.000 0.000
0.362 0.362 0.361
0.638 0.638 0.639
0.500 0.500 0.000
0.178 0.178 0.677
0.822 0.822 0.323
```

Entry 7:
Below is a geometry-optimized HoNiSb structure, with properties calculated at the GGA-PBE level.

Summary:
Space group ... P-62m (189)

```
HoNiSb
1.0
6.987 0.000 0.000
-3.493 6.051 0.000
0.000 0.000 4.288
Ho Ni Sb
3 3 3
direct
0.000 0.574 0.000
0.426 0.426 0.000
0.574 0.000 0.000
0.000 0.247 0.500
0.247 0.000 0.500
0.753 0.753 0.500
0.000 0.000 0.000
0.333 0.667 0.500
0.667 0.333 0.500
```

Entry 8:
Below is a geometry-optimized HoTmLu2 structure, with properties calculated at the GGA-PBE level.

Summary:
Space group ... Ama2 (40)
Energy relative to the elements ... 0 kJ/mol of formula units

```
HoTmLu2
1.0
5.489 0.000 0.000
0.000 6.123 3.535
0.000 -6.123 3.535
Ho Tm Lu
2 2 4
direct
0.250 0.167 0.833
0.750 0.833 0.167
0.250 0.666 0.833
0.750 0.833 0.666
0.250 0.168 0.334
0.250 0.667 0.334
0.750 0.334 0.168
0.750 0.334 0.667
```

Computed energy, in the same sequence as the records: -52.497 -27.060 -40.977 -20.820 -29.242 -43.983 -49.172 -36.201 eV per cell.